A relaxed TbPr4Er3Se8 crystal. Source: the Alexandria database, functional PBE.

a = 8.4577 Å, b = 8.4577 Å, c = 8.4577 Å
α = 57.94°, β = 57.94°, γ = 57.94°
Fractional coordinates of all 16 atoms:
Tb1 0.0000 0.0000 0.0000
Pr1 0.0000 0.0000 0.5000
Pr2 0.0000 0.5000 0.0000
Pr3 0.5000 0.0000 0.0000
Pr4 0.5000 0.5000 0.5000
Er1 0.0000 0.5000 0.5000
Er2 0.5000 0.0000 0.5000
Er3 0.5000 0.5000 0.0000
Se1 0.2446 0.2446 0.7404
Se2 0.2446 0.7404 0.2446
Se3 0.2574 0.2574 0.2574
Se4 0.2596 0.7554 0.7554
Se5 0.7404 0.2446 0.2446
Se6 0.7426 0.7426 0.7426
Se7 0.7554 0.2596 0.7554
Se8 0.7554 0.7554 0.2596

Results
space-group type	R-3m
crystal system	trigonal
total magnetization	0.0	μB per formula unit
energy	-5.868	eV per atom
raw formation energy	-1.79	eV per atom